PrNd4Tl3: optimized geometry, GGA-PBE.

Output
* total DFT energy (no corrections): -65.6 eV/cell
* formation energy from the elements: -0.2335 eV/atom
* total magnetization: 0.0 μB/cell

Unit cell a=5.904 b=7.135 c=11.648 alpha=90.00 beta=90.00 gamma=90.00
Sites, in units of the cell vectors:
Pr: 0.000 0.500 0.500
Pr: 0.000 0.500 0.000
Nd: 0.063 0.244 0.750
Nd: 0.500 0.246 0.500
Nd: 0.500 0.246 0.000
Nd: 0.500 0.754 0.500
Nd: 0.063 0.756 0.750
Nd: 0.500 0.754 0.000
Nd: 0.937 0.244 0.250
Nd: 0.937 0.756 0.250
Tl: 0.000 0.000 0.500
Tl: 0.425 0.500 0.250
Tl: 0.000 0.000 0.000
Tl: 0.571 0.000 0.750
Tl: 0.575 0.500 0.750
Tl: 0.429 0.000 0.250